(1)
# Er5Tl4Ir2 (GGA-PBE, optimized geometry)
data_Er5Tl4Ir2
_symmetry_space_group_name_H-M 'P b a m'
_symmetry_Int_Tables_number 55
_symmetry_space_group_name_Hall '-P 2 2ab'
_cell_length_a 8.0531
_cell_length_b 18.2433
_cell_length_c 3.6466
_cell_angle_alpha 90.00
_cell_angle_beta 90.00
_cell_angle_gamma 90.00
loop_
_atom_site_label
_atom_site_type_symbol
_atom_site_fract_x
_atom_site_fract_y
_atom_site_fract_z
_atom_site_occupancy
Er1 Er 0.0000 0.0000 0.0000 1
Er2 Er 0.1109 0.4088 0.0000 1
Er3 Er 0.2428 0.2210 0.0000 1
Tl1 Tl 0.0757 0.8534 0.5000 1
Tl2 Tl 0.2076 0.5631 0.5000 1
Ir1 Ir 0.0190 0.3026 0.5000 1
# Electronic total energy ... -5.100 eV/atom
# Magnetic moment ... 0.00 Bohr magnetons per cell
# E_form ... -0.554 eV per atom

=====

(2)
# Er4TlIr2 (GGA-PBE, optimized geometry)
data_Er4TlIr2
_symmetry_space_group_name_H-M 'I -4 2 d'
_symmetry_Int_Tables_number 122
_symmetry_space_group_name_Hall 'I -4 2bw'
_cell_length_a 8.8248
_cell_length_b 8.8248
_cell_length_c 8.6772
_cell_angle_alpha 90.00
_cell_angle_beta 90.00
_cell_angle_gamma 90.00
loop_
_atom_site_label
_atom_site_type_symbol
_atom_site_fract_x
_atom_site_fract_y
_atom_site_fract_z
_atom_site_occupancy
Er1 Er 0.0730 0.1713 0.3262 1
Tl1 Tl 0.0000 0.0000 0.0000 1
Ir1 Ir 0.1359 0.2500 0.6250 1
# Electronic total energy ... -6.039 eV/atom
# Magnetic moment ... 0.00 Bohr magnetons per cell
# E_form ... -0.562 eV per atom

=====

(3)
# Er12Tl6Ir (GGA-PBE, optimized geometry)
data_Er12Tl6Ir
_symmetry_space_group_name_H-M 'R -3'
_symmetry_Int_Tables_number 148
_symmetry_space_group_name_Hall '-R 3'
_cell_length_a 12.0829
_cell_length_b 12.0829
_cell_length_c 13.3516
_cell_angle_alpha 90.00
_cell_angle_beta 90.00
_cell_angle_gamma 120.00
loop_
_atom_site_label
_atom_site_type_symbol
_atom_site_fract_x
_atom_site_fract_y
_atom_site_fract_z
_atom_site_occupancy
Er1 Er 0.0313 0.1878 0.3746 1
Er2 Er 0.0332 0.8467 0.8930 1
Tl1 Tl 0.0091 0.6141 0.7624 1
Ir1 Ir 0.0000 0.0000 0.5000 1
# Electronic total energy ... -4.292 eV/atom
# Magnetic moment ... 0.00 Bohr magnetons per cell
# E_form ... -0.197 eV per atom

=====

(4)
# Er2TlIr (GGA-PBE, optimized geometry)
data_Er2TlIr
_symmetry_space_group_name_H-M 'P 4/m m m'
_symmetry_Int_Tables_number 123
_symmetry_space_group_name_Hall '-P 4 2'
_cell_length_a 3.5007
_cell_length_b 3.5007
_cell_length_c 7.5863
_cell_angle_alpha 90.00
_cell_angle_beta 90.00
_cell_angle_gamma 90.00
loop_
_atom_site_label
_atom_site_type_symbol
_atom_site_fract_x
_atom_site_fract_y
_atom_site_fract_z
_atom_site_occupancy
Er1 Er 0.0000 0.0000 0.2128 1
Tl1 Tl 0.5000 0.5000 0.5000 1
Ir1 Ir 0.5000 0.5000 0.0000 1
# Electronic total energy ... -5.725 eV/atom
# Magnetic moment ... 0.00 Bohr magnetons per cell
# E_form ... -0.637 eV per atom

=====

(5)
# Er8Tl2Ir3 (GGA-PBE, optimized geometry)
data_Er8Tl2Ir3
_symmetry_space_group_name_H-M 'P 1 2/m 1'
_symmetry_Int_Tables_number 10
_symmetry_space_group_name_Hall '-P 2y'
_cell_length_a 8.7624
_cell_length_b 4.8865
_cell_length_c 8.7635
_cell_angle_alpha 90.00
_cell_angle_beta 112.06
_cell_angle_gamma 90.00
loop_
_atom_site_label
_atom_site_type_symbol
_atom_site_fract_x
_atom_site_fract_y
_atom_site_fract_z
_atom_site_occupancy
Er1 Er 0.1107 0.0000 0.3893 1
Er2 Er 0.1422 0.5000 0.8667 1
Er3 Er 0.3667 0.5000 0.6424 1
Er4 Er 0.3861 0.0000 0.1137 1
Tl1 Tl 0.2433 0.5000 0.2573 1
Ir1 Ir 0.2474 0.0000 0.7475 1
Ir2 Ir 0.5000 0.5000 0.0000 1
# Electronic total energy ... -5.742 eV/atom
# Magnetic moment ... 0.00 Bohr magnetons per cell
# E_form ... -0.526 eV per atom

=====

(6)
# Er5Tl2Ir (GGA-PBE, optimized geometry)
data_Er5Tl2Ir
_symmetry_space_group_name_H-M 'P b a m'
_symmetry_Int_Tables_number 55
_symmetry_space_group_name_Hall '-P 2 2ab'
_cell_length_a 7.2860
_cell_length_b 12.3316
_cell_length_c 4.7293
_cell_angle_alpha 90.00
_cell_angle_beta 90.00
_cell_angle_gamma 90.00
loop_
_atom_site_label
_atom_site_type_symbol
_atom_site_fract_x
_atom_site_fract_y
_atom_site_fract_z
_atom_site_occupancy
Er1 Er 0.0000 0.0000 0.0000 1
Er2 Er 0.1348 0.2927 0.0000 1
Er3 Er 0.1779 0.5779 0.5000 1
Tl1 Tl 0.0845 0.8343 0.5000 1
Ir1 Ir 0.0000 0.5000 0.0000 1
# Electronic total energy ... -5.029 eV/atom
# Magnetic moment ... 0.00 Bohr magnetons per cell
# E_form ... -0.478 eV per atom